First-principles (meta-GGA SCAN) data for LaZr2As at its PBEsol-relaxed geometry, as listed in Alexandria.

a = 10.162 Å, b = 3.554 Å, c = 5.994 Å
α = 90.00°, β = 120.06°, γ = 90.00°
Space group Cm (No. 8)
Unique sites:
La (0.000, 0.000, 0.000)
Zr (0.190, 0.000, 0.781)
Zr (0.395, 0.000, 0.418)
As (0.200, 0.500, 0.458)

Computed properties:
DFT total energy = -31.692 eV/atom
E_form = -0.52 eV/atom
total magnetization = 0.00 μB per formula unit